# Pm2YInO GGA-PBE optimized geometry
# Formation energy (no corrections) = -1.4224 eV/atom
# Uncorrected energy = -6.155 eV/atom
data_Pm2YInO
_cell_length_a 4.951
_cell_length_b 4.951
_cell_length_c 4.786
_cell_angle_alpha 90.00
_cell_angle_beta 90.00
_cell_angle_gamma 90.00
_symmetry_space_group_name_H-M 'P 4/m m m'
_symmetry_Int_Tables_number 123
_symmetry_space_group_name_Hall '-P 4 2'
loop_
_atom_site_label
_atom_site_type_symbol
_atom_site_fract_x
_atom_site_fract_y
_atom_site_fract_z
Pm1 Pm 0.000 0.500 0.000
Y1 Y 0.000 0.000 0.500
In1 In 0.500 0.500 0.500
O1 O 0.000 0.000 0.000